The following is a DFT calculation (PBE) of crystalline RbGaTe2 at its relaxed geometry.

abc: 3.4961 3.4961 37.1996
angles: 90.00 90.00 120.00
Space group R-3m (No. 166, hexagonal axes)
Asymmetric unit:
1 Rb 0.0000 0.0000 0.0000 x3
2 Ga 0.0000 0.0000 0.5000 x3
3 Te 0.0000 0.0000 0.4134 x6

Properties
D(E_F) in states/eV/cell: 6.84
Formation energy (no corrections) in eV/atom: 0.0479